# 1
CeReB4: relaxed, GGA-PBE.

Calculated values
- spin magnetization (μB per atom) = 0.00
- E_form (eV/atom) = -0.1106
- total DFT energy (no corrections) (eV/atom) = -7.626

Structure (extended XYZ):
```
6
Lattice="-1.571 2.690 3.732 1.571 -2.690 3.732 1.571 2.690 -3.732" Properties=species:S:1:pos:R:3 pbc="T T T"
Ce 0.000 0.000 0.000
Re 0.000 0.000 3.732
B 1.571 -0.893 1.886
B 1.571 0.893 1.886
B 0.000 1.797 1.846
B 0.000 3.584 1.846
```


# 2
Fe3Cu2Pd6: relaxed, GGA-PBE.

Calculated values
- spin magnetization (μB per atom) = 1.09
- E_form (eV/atom) = 0.3065
- total DFT energy (no corrections) (eV/atom) = -5.579

Structure (extended XYZ):
```
11
Lattice="-1.914 1.914 12.038 1.914 -1.914 12.038 1.914 1.914 -12.038" Properties=species:S:1:pos:R:3 pbc="T T T"
Fe 0.000 0.000 0.000
Fe 0.000 0.000 3.525
Fe 0.000 0.000 20.552
Cu 0.000 0.000 8.490
Cu 0.000 0.000 15.587
Pd 1.914 0.000 1.703
Pd 0.000 0.000 5.901
Pd 1.914 0.000 10.335
Pd 0.000 1.914 1.703
Pd 0.000 0.000 18.176
Pd 0.000 1.914 10.335
```


# 3
Li2SiTePt: relaxed, GGA-PBE.

Calculated values
- spin magnetization (μB per atom) = 0.00
- total DFT energy (no corrections) (eV/atom) = -3.789
- energy relative to the elements, uncorrected (eV per atom) = -0.1027

Structure (extended XYZ):
```
5
Lattice="4.854 0.000 0.000 0.000 4.854 0.000 0.000 0.000 4.467" Properties=species:S:1:pos:R:3 pbc="T T T"
Li 0.000 2.427 0.000
Li 2.427 0.000 0.000
Si 0.000 0.000 0.000
Te 2.427 2.427 2.233
Pt 0.000 0.000 2.233
```


# 4
CdHg2Ge: relaxed, GGA-PBE.

Calculated values
- spin magnetization (μB per atom) = 0.00
- E_form (eV/atom) = 0.1776
- total DFT energy (no corrections) (eV/atom) = -1.356

Structure (extended XYZ):
```
4
Lattice="3.452 0.000 0.000 0.000 3.452 0.000 0.000 0.000 7.750" Properties=species:S:1:pos:R:3 pbc="T T T"
Cd 0.000 0.000 0.000
Hg 1.726 1.726 2.012
Hg 1.726 1.726 5.738
Ge 0.000 0.000 3.875
```